## Mo2OsN (PBE)

Data for a relaxed structure of Mo2OsN.

Structure (POSCAR):
```
Mo2OsN
1.0
1.4227 0.8214 7.2533
-1.4227 0.8214 7.2533
0.0000 -1.6428 7.2533
Mo Os N
2 1 1
Cartesian
0.0000 0.0000 0.0000
0.0000 0.0000 4.4562
0.0000 0.0000 16.6640
0.0000 0.0000 13.1256
```

The value obtained for the formation energy (no corrections) is -0.1398 eV/atom. As for the total magnetization: 0.0000 μB/atom.